Entry 1:
Below is an optimized crystal structure of ReIrBr, with properties calculated at the PBEsol level.

Output
* energy above the lowest structure with this stoichiometry: 0 meV/atom
* magnetic moment: 0.00 Bohr magnetons per cell

```
data_ReIrBr
_chemical_formula_sum 'Re1 Ir1 Br1'
_symmetry_space_group_name_H-M 'P 3 m 1'
_symmetry_Int_Tables_number 156
_symmetry_space_group_name_Hall 'P 3 -2"'
_cell_length_a 4.2753
_cell_length_b 4.2753
_cell_length_c 2.9272
_cell_angle_alpha 90.00
_cell_angle_beta 90.00
_cell_angle_gamma 120.00
loop_
_atom_site_label
_atom_site_type_symbol
_atom_site_fract_x
_atom_site_fract_y
_atom_site_fract_z
Re1 Re 0.0000 0.0000 0.0000
Ir1 Ir 0.6667 0.3333 0.4695
Br1 Br 0.3333 0.6667 0.8583
```

***

Entry 2:
Below is an optimized crystal structure of LiReHW2, with properties calculated at the PBEsol level.

Output
* uncorrected energy: -40.240 eV for the cell shown
* magnetic moment: 0.00 Bohr magnetons per cell

```
data_LiReHW2
_chemical_formula_sum 'Li1 Re1 H1 W2'
_symmetry_space_group_name_H-M 'P 4/m m m'
_symmetry_Int_Tables_number 123
_symmetry_space_group_name_Hall '-P 4 2'
_cell_length_a 4.648
_cell_length_b 4.648
_cell_length_c 2.849
_cell_angle_alpha 90.00
_cell_angle_beta 90.00
_cell_angle_gamma 90.00
loop_
_atom_site_label
_atom_site_type_symbol
_atom_site_fract_x
_atom_site_fract_y
_atom_site_fract_z
Li1 Li 0.000 0.000 0.000
Re1 Re 0.500 0.500 0.500
H1 H 0.000 0.000 0.500
W1 W 0.000 0.500 0.000
```

***

Entry 3:
Below is an optimized crystal structure of Si3Ni, with properties calculated at the PBEsol level.

Output
* uncorrected energy: -45.271 eV for the cell shown
* magnetic moment: 0.00 Bohr magnetons per cell

```
data_Si3Ni
_chemical_formula_sum 'Si6 Ni2'
_symmetry_space_group_name_H-M 'P 63/m m c'
_symmetry_Int_Tables_number 194
_symmetry_space_group_name_Hall '-P 6c 2c'
_cell_length_a 5.3588
_cell_length_b 5.3588
_cell_length_c 4.1435
_cell_angle_alpha 90.00
_cell_angle_beta 90.00
_cell_angle_gamma 120.00
loop_
_atom_site_label
_atom_site_type_symbol
_atom_site_fract_x
_atom_site_fract_y
_atom_site_fract_z
Si1 Si 0.1735 0.3470 0.2500
Ni1 Ni 0.3333 0.6667 0.7500
```

***

| no. | N(E_F) (states/eV/f.u.) |
| --- | --- |
| 1 | 2.755 |
| 2 | 4.101 |
| 3 | 2.100 |